Computed, not measured: an optimized crystal structure of BaTlAu at the GGA-PBE level of DFT.

Lattice parameters (Å, degrees): 8.5020 4.6745 14.2733 90.00 91.00 90.00
With the nearest neighbours (Å) after each atom.
Space group P2_1/m (No. 11)
Asymmetric unit:
Ba1 0.0334 0.2500 0.3713 x2  5 Au 3.44-3.51, 4 Tl 3.66-3.78
Ba2 0.1631 0.2500 0.0786 x2  5 Au 3.44-3.58, 5 Tl 3.66-3.81
Ba3 0.4536 0.7500 0.7098 x2  5 Au 3.36-3.49, 3 Tl 3.65-3.76
Tl1 0.1266 0.2500 0.8033 x2  4 Au 3.01-3.35
Tl2 0.3527 0.7500 0.4602 x2  3 Au 3.05-3.12
Tl3 0.4946 0.7500 0.0859 x2  4 Au 3.15-3.17, 2 Tl 3.39
Au1 0.2487 0.7500 0.2496 x2  3 Tl 3.12-3.27, 6 Ba 3.45-3.49
Au2 0.2519 0.2500 0.5821 x2  3 Tl 3.05-3.35, 2 Ba 3.41
Au3 0.2574 0.7500 0.9121 x2  5 Tl 3.01-3.17, 1 Ba 3.36

* calculated formation energy: -0.526 eV/atom
* magnetization: 0.00 μB per formula unit



Computed, not measured: an optimized crystal structure of BaTl3Au at the GGA-PBE level of DFT.

Lattice parameters (Å, degrees): 5.6172 5.6172 5.6172 90.00 90.00 90.00
With the nearest neighbours (Å) after each atom.
Space group Pm-3m (No. 221)
Asymmetric unit:
Ba1 0.0000 0.0000 0.0000 x1  12 Tl 3.97
Tl1 0.0000 0.5000 0.5000 x3  2 Au 2.81
Au1 0.5000 0.5000 0.5000 x1  6 Tl 2.81

* calculated formation energy: -0.071 eV/atom
* magnetization: 0.00 μB per formula unit



Q: What is the magnetization in the second record?
A: 0.00 μB per formula unit